[1]
Density functional theory data (PBE) for a geometry-optimized NbGaRu structure.

Cell and atoms, written as POSCAR:
```
NbGaRu
1.0
5.413 0.000 -0.013
0.000 4.527 0.000
-4.439 0.000 7.730
Nb Ga Ru
4 4 4
Cartesian
-2.075 0.000 5.228 Nb
0.144 2.263 1.363 Nb
3.435 0.000 0.141 Nb
1.216 2.263 4.006 Nb
-3.715 0.000 7.615 Ga
-1.496 2.263 3.750 Ga
1.859 0.000 2.534 Ga
-0.360 2.263 6.398 Ga
0.664 0.000 5.264 Ru
2.884 2.263 1.399 Ru
-0.773 0.000 2.591 Ru
-2.992 2.263 6.456 Ru
```

Energy, eV/atom: -7.73
Formation energy, meV per atom: -275
Space-group type: Cm (8)
Total magnetization, Bohr magnetons per cell: 0.00



[2]
Density functional theory data (PBE) for a geometry-optimized NaAc6Sn3 structure.

Cell and atoms, written as POSCAR:
```
NaAc6Sn3
1.0
-4.781 4.129 6.764
4.071 -5.383 6.163
6.832 5.952 1.195
Na Ac Sn
2 12 6
Cartesian
1.503 5.419 9.133 Na
3.199 0.505 6.999 Na
6.605 0.995 5.942 Ac
4.214 3.060 9.324 Ac
6.821 4.803 6.937 Ac
3.098 1.394 12.717 Ac
5.673 4.872 2.996 Ac
3.343 6.885 6.293 Ac
3.809 -3.077 6.372 Ac
1.359 -0.960 9.839 Ac
1.603 4.530 3.415 Ac
-2.120 1.122 9.196 Ac
2.877 0.800 3.427 Ac
0.487 2.866 6.808 Ac
7.457 2.111 9.029 Sn
5.078 4.222 12.390 Sn
3.919 3.458 5.705 Sn
0.784 2.466 10.426 Sn
-2.755 3.813 7.103 Sn
-0.376 1.702 3.741 Sn
```

Energy, eV/atom: -4.23
Formation energy, meV per atom: -428
Space-group type: Cmcm (63)
Total magnetization, Bohr magnetons per cell: 0.00